(1)
The following is a DFT calculation (PBE) of a relaxed Cs2BiBBr6 crystal.

Unit cell a=7.903 b=7.903 c=7.892 alpha=59.95 beta=59.95 gamma=90.00
Positions (direct):
Br 0.741 0.259 0.000
Br 0.740 0.740 0.520
Br 0.741 0.741 0.000
Br 0.259 0.741 0.000
Br 0.259 0.259 0.000
Br 0.260 0.260 0.480
Cs 0.750 0.250 0.500
Cs 0.250 0.750 0.500
Bi 0.000 0.000 0.000
B 0.500 0.500 0.000

- Volume: 348 Å³ per cell
- VASP energy: -0.2189 Ry/atom
- Formation energy (no corrections): -748 meV/atom
- Symmetry: I4/mmm

=====

(2)
The following is a DFT calculation (PBE) of a relaxed NiBiBBr2 crystal.

Unit cell a=5.279 b=3.895 c=5.279 alpha=90.00 beta=90.00 gamma=90.00
Positions (direct):
Br 0.500 0.000 0.000
Br 0.000 0.000 0.500
Ni 0.000 0.500 0.000
B 0.000 0.000 0.000
Bi 0.500 0.500 0.500

- Volume: 109 Å³ per cell
- VASP energy: -0.2345 Ry/atom
- Formation energy (no corrections): 746 meV/atom
- Symmetry: P4/mmm

=====

(3)
The following is a DFT calculation (PBE) of a relaxed BiB2PbBr crystal.

Unit cell a=4.660 b=6.593 c=4.660 alpha=90.00 beta=90.00 gamma=90.00
Positions (direct):
Br 0.500 0.500 0.500
B 0.000 0.000 0.500
B 0.500 0.000 0.000
Bi 0.000 0.500 0.000
Pb 0.000 0.000 0.000

- Volume: 143 Å³ per cell
- VASP energy: -0.2097 Ry/atom
- Formation energy (no corrections): 1671 meV/atom
- Symmetry: P4/mmm

=====

(4)
The following is a DFT calculation (PBE) of a relaxed BiBPtBr2 crystal.

Unit cell a=5.765 b=5.176 c=5.765 alpha=90.00 beta=90.00 gamma=90.00
Positions (direct):
Br 0.000 0.000 0.500
Br 0.500 0.000 0.000
B 0.500 0.500 0.500
Pt 0.000 0.500 0.000
Bi 0.000 0.000 0.000

- Volume: 172 Å³ per cell
- VASP energy: -0.2080 Ry/atom
- Formation energy (no corrections): 1159 meV/atom
- Symmetry: P4/mmm

=====

(5)
The following is a DFT calculation (PBE) of a relaxed Rb2BiBBr6 crystal.

Unit cell a=7.822 b=7.822 c=7.810 alpha=59.95 beta=59.95 gamma=90.00
Positions (direct):
Br 0.738 0.738 0.523
Br 0.262 0.262 0.477
Br 0.739 0.739 0.000
Br 0.261 0.739 0.000
Br 0.261 0.261 0.000
Br 0.739 0.261 0.000
B 0.500 0.500 0.000
Rb 0.750 0.250 0.500
Rb 0.250 0.750 0.500
Bi 0.000 0.000 0.000

- Volume: 337 Å³ per cell
- VASP energy: -0.2174 Ry/atom
- Formation energy (no corrections): -705 meV/atom
- Symmetry: I4/mmm

=====

(6)
The following is a DFT calculation (PBE) of a relaxed BiBRh2Br crystal.

Unit cell a=4.557 b=5.779 c=4.557 alpha=90.00 beta=90.00 gamma=90.00
Positions (direct):
Rh 0.000 0.000 0.500
Rh 0.500 0.000 0.000
B 0.500 0.500 0.500
Bi 0.000 0.500 0.000
Br 0.000 0.000 0.000

- Volume: 120 Å³ per cell
- VASP energy: -0.2652 Ry/atom
- Formation energy (no corrections): 1779 meV/atom
- Symmetry: P4/mmm

=====

(7)
The following is a DFT calculation (PBE) of a relaxed TcBiB2Br crystal.

Unit cell a=4.646 b=5.822 c=4.646 alpha=90.00 beta=90.00 gamma=90.00
Each line ends with the local moment (μB).
Positions (direct):
Bi 0.000 0.000 0.000  0.04
B 0.000 0.000 0.500  -0.13
B 0.500 0.000 0.000  -0.16
Tc 0.500 0.500 0.500  3.64
Br 0.000 0.500 0.000  -0.01

- Volume: 126 Å³ per cell
- VASP energy: -0.2562 Ry/atom
- Formation energy (no corrections): 2369 meV/atom
- Symmetry: P4/mmm

=====

(8)
The following is a DFT calculation (PBE) of a relaxed TlBiBBr2 crystal.

Unit cell a=6.090 b=4.641 c=6.090 alpha=90.00 beta=90.00 gamma=90.00
Each line ends with the local moment (μB).
Positions (direct):
B 0.000 0.500 0.000  0.33
Bi 0.000 0.000 0.000  0.03
Br 0.500 0.000 0.000  0.05
Br 0.000 0.000 0.500  0.07
Tl 0.500 0.500 0.500  0.01

- Volume: 172 Å³ per cell
- VASP energy: -0.2063 Ry/atom
- Formation energy (no corrections): 447 meV/atom
- Symmetry: P4/mmm

=====

(9)
The following is a DFT calculation (PBE) of a relaxed YBi2BBr crystal.

Unit cell a=6.028 b=4.689 c=6.028 alpha=90.00 beta=90.00 gamma=90.00
Positions (direct):
Y 0.000 0.000 0.000
Br 0.500 0.500 0.500
B 0.000 0.500 0.000
Bi 0.500 0.000 0.000
Bi 0.000 0.000 0.500

- Volume: 170 Å³ per cell
- VASP energy: -0.2699 Ry/atom
- Formation energy (no corrections): 843 meV/atom
- Symmetry: P4/mmm

=====

(10)
The following is a DFT calculation (PBE) of a relaxed Bi3BC crystal.

Unit cell a=4.951 b=4.951 c=4.951 alpha=90.00 beta=90.00 gamma=90.00
Positions (direct):
Bi 0.000 0.500 0.000
Bi 0.000 0.000 0.500
Bi 0.500 0.000 0.000
C 0.000 0.000 0.000
B 0.500 0.500 0.500

- ΔE_f: 1.6978 eV/atom
- Volume: 121 Å³ per cell
- VASP energy: -0.2801 Ry/atom
- Energy relative to the lowest polymorph listed for this composition: 0.000 eV/atom
- Symmetry: Pm-3m

=====

(11)
The following is a DFT calculation (PBE) of a relaxed Bi2BC crystal.

Unit cell a=4.675 b=4.675 c=4.675 alpha=60.00 beta=60.00 gamma=60.00
Positions (direct):
Bi 0.250 0.250 0.250
Bi 0.750 0.750 0.750
B 0.000 0.000 0.000
C 0.500 0.500 0.500

- ΔE_f: 1.9172 eV/atom
- Volume: 72 Å³ per cell
- VASP energy: -0.2939 Ry/atom
- Energy relative to the lowest polymorph listed for this composition: 0.609 eV/atom
- Symmetry: Fm-3m

=====

(12)
The following is a DFT calculation (PBE) of a relaxed Bi2BC crystal.

Unit cell a=5.534 b=5.534 c=6.864 alpha=66.22 beta=66.22 gamma=90.00
Positions (direct):
C 0.750 0.250 0.500
C 0.000 0.000 0.000
Bi 0.875 0.877 0.750
Bi 0.123 0.625 0.250
Bi 0.375 0.373 0.750
Bi 0.627 0.125 0.250
B 0.250 0.750 0.500
B 0.500 0.500 0.000

- ΔE_f: 1.3084 eV/atom
- Volume: 173 Å³ per cell
- VASP energy: -0.3386 Ry/atom
- Energy relative to the lowest polymorph listed for this composition: 0.000 eV/atom
- Symmetry: I-42d

=====

(13)
The following is a DFT calculation (PBE) of a relaxed Cs2BiBC crystal.

Unit cell a=6.771 b=4.423 c=6.771 alpha=90.00 beta=90.00 gamma=90.00
Each line ends with the local moment (μB).
Positions (direct):
B 0.500 0.500 0.500  0.55
C 0.000 0.000 0.000  0.05
Cs 0.500 0.000 0.000  0.03
Cs 0.000 0.000 0.500  0.02
Bi 0.000 0.500 0.000  -0.10

- ΔE_f: 1.5340 eV/atom
- Volume: 203 Å³ per cell
- VASP energy: -0.2031 Ry/atom
- Symmetry: P4/mmm

=====

(14)
The following is a DFT calculation (PBE) of a relaxed BiBC2F crystal.

Unit cell a=4.563 b=4.452 c=4.563 alpha=90.00 beta=90.00 gamma=90.00
Each line ends with the local moment (μB).
Positions (direct):
C 0.500 0.000 0.000  0.49
C 0.000 0.000 0.500  0.37
B 0.500 0.500 0.500  0.01
F 0.000 0.500 0.000  0.04
Bi 0.000 0.000 0.000  0.01

- Volume: 93 Å³ per cell
- VASP energy: -0.2699 Ry/atom
- Formation energy (no corrections): 2504 meV/atom
- Symmetry: P4/mmm

=====

(15)
The following is a DFT calculation (PBE) of a relaxed GaBiBC2 crystal.

Unit cell a=3.842 b=6.071 c=3.842 alpha=90.00 beta=90.00 gamma=90.00
Each line ends with the local moment (μB).
Positions (direct):
Ga 0.000 0.000 0.000  -0.01
B 0.500 0.500 0.500  0.00
C 0.000 0.000 0.500  0.15
C 0.500 0.000 0.000  0.20
Bi 0.000 0.500 0.000  0.00

- ΔE_f: 2.5111 eV/atom
- Volume: 90 Å³ per cell
- VASP energy: -0.2863 Ry/atom
- Symmetry: P4/mmm

=====

(16)
The following is a DFT calculation (PBE) of a relaxed KBiB2C crystal.

Unit cell a=4.175 b=5.070 c=4.175 alpha=90.00 beta=90.00 gamma=90.00
Positions (direct):
B 0.000 0.000 0.500
B 0.500 0.000 0.000
Bi 0.000 0.500 0.000
K 0.500 0.500 0.500
C 0.000 0.000 0.000

- ΔE_f: 2.1056 eV/atom
- Volume: 88 Å³ per cell
- VASP energy: -0.2503 Ry/atom
- Symmetry: P4/mmm

=====

(17)
The following is a DFT calculation (PBE) of a relaxed MnBiB2C crystal.

Unit cell a=4.617 b=4.617 c=4.588 alpha=90.00 beta=90.00 gamma=90.00
Each line ends with the local moment (μB).
Positions (direct):
C 0.000 0.000 0.500  -0.19
B 0.500 0.000 0.000  0.01
B 0.000 0.500 0.000  0.01
Mn 0.500 0.500 0.500  -0.33
Bi 0.000 0.000 0.000  -0.01

- ΔE_f: 3.3728 eV/atom
- Volume: 98 Å³ per cell
- VASP energy: -0.2758 Ry/atom
- Symmetry: P4/mmm

=====

(18)
The following is a DFT calculation (PBE) of a relaxed BiBMo2C crystal.

Unit cell a=4.100 b=4.952 c=4.100 alpha=90.00 beta=90.00 gamma=90.00
Positions (direct):
Mo 0.000 0.000 0.500
Mo 0.500 0.000 0.000
C 0.000 0.000 0.000
B 0.500 0.500 0.500
Bi 0.000 0.500 0.000

- ΔE_f: 1.4328 eV/atom
- Volume: 83 Å³ per cell
- VASP energy: -0.5039 Ry/atom
- Symmetry: P4/mmm

=====

(19)
The following is a DFT calculation (PBE) of a relaxed BiBMoC2 crystal.

Unit cell a=3.700 b=5.123 c=3.700 alpha=90.00 beta=90.00 gamma=90.00
Positions (direct):
B 0.000 0.000 0.000
C 0.000 0.000 0.500
C 0.500 0.000 0.000
Bi 0.000 0.500 0.000
Mo 0.500 0.500 0.500

- ΔE_f: 2.5400 eV/atom
- Volume: 70 Å³ per cell
- VASP energy: -0.3989 Ry/atom
- Symmetry: P4/mmm

=====

(20)
The following is a DFT calculation (PBE) of a relaxed BiB2CN crystal.

Unit cell a=3.224 b=7.569 c=3.224 alpha=90.00 beta=90.00 gamma=90.00
Each line ends with the local moment (μB).
Positions (direct):
N 0.000 0.000 0.000  -0.05
B 0.000 0.000 0.500  0.19
B 0.500 0.000 0.000  0.35
C 0.500 0.500 0.500  0.03
Bi 0.000 0.500 0.000  0.01

- Volume: 79 Å³ per cell
- VASP energy: -0.3575 Ry/atom
- Formation energy (no corrections): 2093 meV/atom
- Symmetry: P4/mmm